1.
Computed, not measured: LaTmSc6 after structural relaxation at the PBE level of DFT.

* E_tot: -5.882 eV per atom
* E_form: 0.04 eV/atom

Cell: 6.7901 6.7901 5.3406 Å, 90.00 90.00 120.00°
Closest atoms and distances in Å follow each position.
Space group P-6m2 (No. 187)
Symmetry-distinct sites (fractional):
La1 0.0000 0.0000 0.0000 (multiplicity 1)  12 Sc 3.34-3.40
Tm1 0.3333 0.6667 0.5000 (multiplicity 1)  12 Sc 3.34-3.40
Sc1 0.3416 0.1708 0.5000 (multiplicity 3)  8 Sc 3.29-3.48, 2 La 3.34, 2 Tm 3.40
Sc2 0.5035 0.0070 0.0000 (multiplicity 3)  8 Sc 3.29-3.47, 2 Tm 3.34, 2 La 3.40


2.
Computed, not measured: IrPdRh2 after structural relaxation at the PBE level of DFT.

* E_tot: -6.841 eV per atom
* E_form: 0.35 eV/atom

Cell: 6.1993 6.1993 6.1993 Å, 90.00 90.00 90.00°
Closest atoms and distances in Å follow each position.
Space group Fm-3m (No. 225)
Symmetry-distinct sites (fractional):
Ir1 0.0000 0.0000 0.0000 (multiplicity 4)  8 Rh 2.68
Pd1 0.0000 0.0000 0.5000 (multiplicity 4)  8 Rh 2.68
Rh1 0.2500 0.2500 0.2500 (multiplicity 8)  4 Ir 2.68, 4 Pd 2.68


3.
Computed, not measured: SrSc2Cr after structural relaxation at the PBE level of DFT.

* E_tot: -5.533 eV per atom
* E_form: 0.46 eV/atom

Cell: 3.4038 4.8659 6.9056 Å, 90.00 104.21 90.00°
Closest atoms and distances in Å follow each position.
Space group Pm (No. 6)
Symmetry-distinct sites (fractional):
Sr1 0.0000 0.0000 0.0000 (multiplicity 1)  2 Sr 3.40, 4 Cr 3.51, 3 Sc 3.55-3.58
Sc1 0.3128 0.5000 0.6295 (multiplicity 1)  2 Cr 2.89-2.90, 4 Sc 3.16-3.17
Sc2 0.7301 0.0000 0.4652 (multiplicity 1)  2 Cr 2.73
Cr1 0.6402 0.5000 0.2798 (multiplicity 1)  4 Sc 2.73-2.90


4.
Computed, not measured: NaAsW2 after structural relaxation at the PBE level of DFT.

* E_tot: -6.999 eV per atom
* E_form: 0.97 eV/atom

Cell: 3.8914 3.8914 19.5863 Å, 90.00 90.00 90.00°
Closest atoms and distances in Å follow each position.
Space group I-42d (No. 122)
Symmetry-distinct sites (fractional):
Na1 0.0000 0.0000 0.0000 (multiplicity 4)  4 As 2.75, 4 W 2.87
As1 0.0000 0.0000 0.5000 (multiplicity 4)  4 Na 2.75, 4 W 2.75
W1 0.2048 0.2500 0.6250 (multiplicity 8)  2 W 2.52, 2 As 2.75